BiPdW2F | PBE with a Hubbard U | optimized geometry

Lattice parameters (Å, degrees): 5.3629 5.3629 5.0902 90.00 90.00 90.00
Space group P4/mmm (No. 123)
Unique sites:
Bi 0.0000 0.0000 0.0000 x1
Pd 0.0000 0.0000 0.5000 x1
W 0.0000 0.5000 0.5000 x2
F 0.5000 0.5000 0.0000 x1

Output
Crystal system = tetragonal
Volume = 29.279 Å³ per atom
Size of the total moment = 7.98 μB per formula unit
DFT total energy = -4.098 eV per atom